Here is a geometry-optimized Sb2TeCl structure from the Alexandria database. Energies are from GGA-PBEsol.

Values from the calculation:
Symmetry: Pmm2 (25)
Formation energy from raw total energies: -88 meV/atom
Excess energy over the best structure of this formula in the dataset: 0 meV per atom
ρ: 5.1 g/cm3
Electronic total energy: -3.750 eV per atom

abc: 3.250 5.471 7.391
angles: 90.00 90.00 90.00
Element x y z (fractional)
Sb: 0.000 0.000 0.099
Sb: 0.500 0.500 0.128
Te: 0.000 0.000 0.469
Cl: 0.500 0.500 0.804